1.
Y2CrCu | PBEsol | relaxed

Unit cell a=3.456 b=4.904 c=4.904 alpha=90.00 beta=90.00 gamma=90.00
Last column: magnetic moment on the atom in μB.
Fractional coordinates of all 4 atoms:
Cr 0.500 0.500 0.500  3.21
Cu 0.500 0.000 0.000  0.03
Y 0.000 0.000 0.500  0.02
Y 0.000 0.500 0.000  0.02

Magnetic moment (μB per cell): 3.56
E (hartree per atom): -0.2530
Volume (A^3/atom): 20.77



2.
YReAgC2 | PBEsol | relaxed

Unit cell a=4.347 b=4.347 c=5.290 alpha=90.00 beta=90.00 gamma=90.00
Last column: magnetic moment on the atom in μB.
Fractional coordinates of all 5 atoms:
Y 0.000 0.000 0.000  -0.01
Re 0.000 0.000 0.500  -2.33
C 0.000 0.500 0.000  0.09
C 0.500 0.000 0.000  0.09
Ag 0.500 0.500 0.500  -0.04

Magnetic moment (μB per cell): 2.44
E (hartree per atom): -0.2007
Volume (A^3/atom): 19.99



3.
Ce3Sm | PBEsol | relaxed

Unit cell a=4.696 b=4.696 c=5.776 alpha=113.99 beta=113.99 gamma=90.00
Fractional coordinates of all 4 atoms:
Sm 0.000 0.000 0.000
Ce 0.250 0.750 0.500
Ce 0.750 0.250 0.500
Ce 0.500 0.500 0.000

Magnetic moment (μB per cell): 0.00
E (hartree per atom): -0.2241
Volume (A^3/atom): 26.06



> Among the records above, which one has the highest magnetic moment?

Y2CrCu



> Look up the E of the first one.

-0.2530 hartree per atom



> Number 3 is which compound?

Ce3Sm



> What is the volume in the third record?

26.06 A^3/atom